Compound: TmZrCSe
Source: Alexandria
Functional: PBE
Structure: optimized geometry

a = 3.5546 Å, b = 3.5539 Å, c = 6.8358 Å
α = 90.00°, β = 105.07°, γ = 119.99°
Fractional coordinates of all 4 atoms:
Se 0.9611 0.3786 0.3550
Zr 0.0975 0.9467 0.0596
C 0.3157 0.5558 0.8866
Tm 0.5036 0.1497 0.6685

Summary:
M_tot: 0.00 μB/f.u.
Uncorrected energy: -7.5691 eV per atom
Theoretical density: 8.17 g/cm³
Space-group type: R3m
E_form (uncorrected): -1137 meV/atom

Compound: U5C2Se5
Source: Alexandria
Functional: PBE
Structure: optimized geometry

a = 3.8029 Å, b = 6.8142 Å, c = 10.9042 Å
α = 106.12°, β = 90.00°, γ = 106.20°
Each line ends with the local moment (μB).
Fractional coordinates of all 12 atoms:
Se 0.3322 0.6645 0.9343  0.06
Se 0.7602 0.5205 0.3609  -0.03
Se 0.2398 0.4795 0.6391  -0.03
Se 0.5000 0.0000 0.5000  -0.04
Se 0.6678 0.3355 0.0657  0.06
U 0.0000 0.0000 0.0000  -1.92
U 0.8996 0.7992 0.6237  2.16
U 0.3492 0.6984 0.2052  -1.88
U 0.6508 0.3016 0.7948  -1.88
U 0.1004 0.2008 0.3763  2.16
C 0.9566 0.9132 0.1961  0.04
C 0.0434 0.0868 0.8039  0.04

Summary:
M_tot: 1.27 μB/f.u.
Uncorrected energy: -8.4308 eV per atom
Theoretical density: 10.29 g/cm³
Space-group type: C2/m
E_form (uncorrected): -738 meV/atom